## AcPr2MoO8 (PBE+U)

Data for AcPr2MoO8 after structural relaxation.

Geometry as extended XYZ:
```
12
Lattice="-2.107 -1.242 4.641 -2.775 -3.818 -2.299 5.443 -4.689 1.217" Properties=species:S:1:pos:R:3 pbc="T T T"
Ac 2.721 -2.344 0.608
Pr 1.702 -6.098 2.097
Pr -1.141 -3.650 1.462
Mo 0.000 0.000 0.000
O -1.581 -4.279 -0.817
O 1.849 -8.413 2.938
O -1.155 -2.628 3.639
O 2.141 -5.469 4.376
O -1.288 -1.335 0.622
O 1.716 -7.120 -0.079
O -0.611 -5.799 2.205
O 1.171 -3.950 1.354
```

Output
uncorrected energy	-7.5848	eV per atom
total magnetic moment	0.828	μB/f.u.
symmetry	Cmmm (65)